Entry 1:
Density functional theory data (PBE) for crystalline Ce2AgPb at its relaxed geometry.

a = 4.552 Å, b = 4.484 Å, c = 6.031 Å
α = 111.83°, β = 112.17°, γ = 90.00°
Each line ends with the local moment (μB).
Fractional positions:
Ce: 0.027 0.027 0.053  0.84
Ce: 0.216 0.716 0.432  0.79
Ag: 0.480 0.480 0.960  0.01
Pb: 0.777 0.277 0.554  -0.02

Calculated values
* crystal system: orthorhombic
* energy relative to the elements: -0.213 eV/atom
* energy: -19.277 eV per cell



Entry 2:
Density functional theory data (PBE) for crystalline CeAgPb at its relaxed geometry.

a = 3.600 Å, b = 5.024 Å, c = 5.024 Å
α = 120.00°, β = 90.00°, γ = 90.00°
Each line ends with the local moment (μB).
Fractional positions:
Pb: 0.166 0.000 0.000  -0.01
Ag: 0.168 0.333 0.667  0.03
Ce: 0.666 0.667 0.333  1.08

Calculated values
* crystal system: trigonal
* energy relative to the elements: -0.272 eV/atom
* energy: -13.309 eV per cell



Entry 3:
Density functional theory data (PBE) for crystalline Ce2AgPb at its relaxed geometry.

a = 4.656 Å, b = 4.787 Å, c = 4.787 Å
α = 90.00°, β = 90.00°, γ = 90.00°
Each line ends with the local moment (μB).
Fractional positions:
Pb: 0.500 0.500 0.500  -0.01
Ag: 0.500 0.000 0.000  0.03
Ce: 0.000 0.000 0.500  1.00
Ce: 0.000 0.500 0.000  1.00

Calculated values
* crystal system: tetragonal
* energy relative to the elements: -0.235 eV/atom
* energy: -19.369 eV per cell



Entry 4:
Density functional theory data (PBE) for crystalline CeAgPb at its relaxed geometry.

a = 4.783 Å, b = 6.427 Å, c = 6.427 Å
α = 65.10°, β = 68.15°, γ = 68.15°
Each line ends with the local moment (μB).
Fractional positions:
Ce: 0.623 0.579 0.175  0.84
Ce: 0.623 0.175 0.579  0.84
Ag: 0.317 0.987 0.380  0.01
Ag: 0.317 0.380 0.987  0.01
Pb: 0.904 0.596 0.596  -0.01
Pb: 0.010 0.990 0.990  -0.01

Calculated values
* crystal system: orthorhombic
* energy relative to the elements: -0.021 eV/atom
* energy: -25.115 eV per cell



Entry 5:
Density functional theory data (PBE) for crystalline Ce2AgPb at its relaxed geometry.

a = 5.441 Å, b = 5.441 Å, c = 5.441 Å
α = 60.00°, β = 60.00°, γ = 60.00°
Each line ends with the local moment (μB).
Fractional positions:
Pb: 0.500 0.500 0.500  -0.04
Ag: 0.000 0.000 0.000  0.03
Ce: 0.250 0.250 0.250  1.13
Ce: 0.750 0.750 0.750  1.13

Calculated values
* crystal system: cubic
* energy relative to the elements: -0.229 eV/atom
* energy: -19.343 eV per cell



Entry 6:
Density functional theory data (PBE) for crystalline CeAgPb at its relaxed geometry.

a = 5.259 Å, b = 5.259 Å, c = 6.426 Å
α = 90.00°, β = 90.00°, γ = 120.00°
Each line ends with the local moment (μB).
Fractional positions:
Pb: 0.667 0.333 0.000  0.00
Pb: 0.333 0.667 0.000  0.00
Ag: 0.333 0.667 0.500  0.00
Ag: 0.667 0.333 0.500  0.00
Ce: 0.000 0.000 0.289  0.78
Ce: 0.000 0.000 0.711  0.78

Calculated values
* crystal system: hexagonal
* energy relative to the elements: -0.171 eV/atom
* energy: -26.013 eV per cell



Entry 7:
Density functional theory data (PBE) for crystalline Ce2AgPb2 at its relaxed geometry.

a = 5.071 Å, b = 6.614 Å, c = 8.889 Å
α = 90.00°, β = 106.57°, γ = 90.00°
Each line ends with the local moment (μB).
Fractional positions:
Ce: 0.001 0.737 0.002  0.92
Ce: 0.788 0.432 0.576  0.79
Ce: 0.212 0.932 0.424  0.79
Ce: 0.999 0.237 0.998  0.92
Ag: 0.410 0.021 0.819  0.00
Ag: 0.590 0.521 0.181  0.00
Pb: 0.412 0.501 0.824  -0.01
Pb: 0.827 0.944 0.654  -0.01
Pb: 0.173 0.444 0.346  -0.01
Pb: 0.588 0.001 0.176  -0.01

Calculated values
* crystal system: orthorhombic
* energy relative to the elements: -0.275 eV/atom
* energy: -47.024 eV per cell



Entry 8:
Density functional theory data (PBE) for crystalline Ce3Ag4Pb2 at its relaxed geometry.

a = 4.951 Å, b = 6.085 Å, c = 9.366 Å
α = 116.55°, β = 90.00°, γ = 114.00°
Each line ends with the local moment (μB).
Fractional positions:
Ce: 0.663 0.325 0.673  0.83
Ce: 0.000 0.000 0.000  0.87
Ce: 0.337 0.675 0.327  0.83
Ag: 0.713 0.427 0.038  0.00
Ag: 0.287 0.573 0.962  0.00
Ag: 0.927 0.854 0.586  0.00
Ag: 0.073 0.146 0.414  0.00
Pb: 0.615 0.230 0.279  -0.02
Pb: 0.385 0.770 0.721  -0.02

Calculated values
* crystal system: monoclinic
* energy relative to the elements: -0.251 eV/atom
* energy: -38.884 eV per cell



Entry 9:
Density functional theory data (PBE) for crystalline CeAgPb at its relaxed geometry.

a = 4.931 Å, b = 4.931 Å, c = 7.583 Å
α = 90.00°, β = 90.00°, γ = 120.00°
Each line ends with the local moment (μB).
Fractional positions:
Ce: 0.000 0.000 0.001  0.91
Ce: 0.000 0.000 0.501  0.91
Ag: 0.667 0.333 0.304  0.00
Ag: 0.333 0.667 0.804  0.00
Pb: 0.333 0.667 0.222  -0.02
Pb: 0.667 0.333 0.722  -0.02

Calculated values
* crystal system: hexagonal
* energy relative to the elements: -0.327 eV/atom
* energy: -26.950 eV per cell



Entry 10:
Density functional theory data (PBE) for crystalline CeAgPb at its relaxed geometry.

a = 3.054 Å, b = 3.054 Å, c = 9.087 Å
α = 99.68°, β = 99.68°, γ = 90.00°
Each line ends with the local moment (μB).
Fractional positions:
Pb: 0.134 0.134 0.269  -0.01
Ag: 0.771 0.771 0.542  0.00
Ce: 0.945 0.945 0.890  0.66

Calculated values
* crystal system: tetragonal
* energy relative to the elements: 0.407 eV/atom
* energy: -11.273 eV per cell



Entry 11:
Density functional theory data (PBE) for crystalline Ce2PmAg2Pb2 at its relaxed geometry.

a = 4.841 Å, b = 4.841 Å, c = 9.523 Å
α = 75.28°, β = 75.28°, γ = 60.00°
Each line ends with the local moment (μB).
Fractional positions:
Ce: 0.144 0.144 0.567  1.00
Ce: 0.856 0.856 0.433  1.00
Pm: 0.000 0.000 0.000  0.07
Ag: 0.568 0.568 0.295  0.00
Ag: 0.432 0.432 0.705  0.00
Pb: 0.731 0.731 0.808  -0.01
Pb: 0.269 0.269 0.192  -0.01

Calculated values
* crystal system: trigonal
* energy relative to the elements: -0.241 eV/atom
* energy: -31.423 eV per cell



Entry 12:
Density functional theory data (PBE) for crystalline CePrAgPb at its relaxed geometry.

a = 5.474 Å, b = 5.474 Å, c = 5.474 Å
α = 60.00°, β = 60.00°, γ = 60.00°
Each line ends with the local moment (μB).
Fractional positions:
Pb: 0.750 0.750 0.750  -0.03
Pr: 0.500 0.500 0.500  0.28
Ag: 0.250 0.250 0.250  0.03
Ce: 0.000 0.000 0.000  1.14

Calculated values
* crystal system: cubic
* energy relative to the elements: -0.321 eV/atom
* energy: -18.555 eV per cell